1.
DFT (GGA-PBE) results for AcPrHoEr after structural relaxation.

* energy of formation from the pure elements: 104 meV/atom
* volume: 142.6 Å³ per cell

Cell: 5.8648 5.8648 5.8648 Å, 60.00 60.00 60.00°
Fractional positions:
Ac  0.0000  0.0000  0.0000
Pr  0.5000  0.5000  0.5000
Ho  0.2500  0.2500  0.2500
Er  0.7500  0.7500  0.7500

---

2.
DFT (GGA-PBE) results for Tl12As5I3 after structural relaxation.

* formation energy without anion corrections: 0.0329 eV/atom
* volume: 3253.9 Å³ per cell

Cell: 16.1686 16.1686 16.1686 Å, 109.47 109.47 109.47°
Fractional positions:
Tl  0.0319  0.2048  0.1251
Tl  0.0319  0.3271  0.9068
Tl  0.0797  0.7048  0.6729
Tl  0.0797  0.8749  0.4068
Tl  0.0932  0.6251  0.4203
Tl  0.0932  0.9681  0.6729
Tl  0.1251  0.0319  0.2048
Tl  0.1251  0.5932  0.9203
Tl  0.1729  0.2048  0.5797
Tl  0.1729  0.4681  0.5932
Tl  0.2048  0.1251  0.0319
Tl  0.2048  0.5797  0.1729
Tl  0.2952  0.3271  0.9203
Tl  0.2952  0.4681  0.3749
Tl  0.3271  0.9068  0.0319
Tl  0.3271  0.9203  0.2952
Tl  0.3749  0.2952  0.4681
Tl  0.3749  0.5797  0.9068
Tl  0.4068  0.0797  0.8749
Tl  0.4068  0.8271  0.5319
Tl  0.4203  0.0932  0.6251
Tl  0.4203  0.8271  0.7952
Tl  0.4681  0.3749  0.2952
Tl  0.4681  0.5932  0.1729
Tl  0.5319  0.4068  0.8271
Tl  0.5319  0.6251  0.7048
Tl  0.5797  0.1729  0.2048
Tl  0.5797  0.9068  0.3749
Tl  0.5932  0.1729  0.4681
Tl  0.5932  0.9203  0.1251
Tl  0.6251  0.4203  0.0932
Tl  0.6251  0.7048  0.5319
Tl  0.6729  0.0797  0.7048
Tl  0.6729  0.0932  0.9681
Tl  0.7048  0.5319  0.6251
Tl  0.7048  0.6729  0.0797
Tl  0.7952  0.4203  0.8271
Tl  0.7952  0.8749  0.9681
Tl  0.8271  0.5319  0.4068
Tl  0.8271  0.7952  0.4203
Tl  0.8749  0.4068  0.0797
Tl  0.8749  0.9681  0.7952
Tl  0.9068  0.0319  0.3271
Tl  0.9068  0.3749  0.5797
Tl  0.9203  0.1251  0.5932
Tl  0.9203  0.2952  0.3271
Tl  0.9681  0.6729  0.0932
Tl  0.9681  0.7952  0.8749
As  0.0000  0.0000  0.0000
As  0.0000  0.0000  0.5000
As  0.0000  0.5000  0.0000
As  0.0000  0.5000  0.5000
As  0.1250  0.7500  0.8750
As  0.1250  0.8750  0.2500
As  0.2500  0.1250  0.8750
As  0.2500  0.6250  0.3750
As  0.3750  0.2500  0.6250
As  0.3750  0.6250  0.7500
As  0.5000  0.0000  0.0000
As  0.5000  0.0000  0.5000
As  0.5000  0.5000  0.0000
As  0.5000  0.5000  0.5000
As  0.6250  0.3750  0.2500
As  0.6250  0.7500  0.3750
As  0.7500  0.3750  0.6250
As  0.7500  0.8750  0.1250
As  0.8750  0.1250  0.7500
As  0.8750  0.2500  0.1250
I  0.1250  0.2500  0.3750
I  0.1250  0.3750  0.7500
I  0.2500  0.3750  0.1250
I  0.2500  0.8750  0.6250
I  0.3750  0.1250  0.2500
I  0.3750  0.7500  0.1250
I  0.6250  0.2500  0.8750
I  0.6250  0.8750  0.7500
I  0.7500  0.1250  0.3750
I  0.7500  0.6250  0.8750
I  0.8750  0.6250  0.2500
I  0.8750  0.7500  0.6250